(1)
First-principles (PBE-GGA) data for Sm3TmO after structural relaxation, as listed in Alexandria via LeMat-Bulk.

Geometry as CIF:
```
data_Sm3TmO
_cell_length_a 5.019
_cell_length_b 5.019
_cell_length_c 5.019
_cell_angle_alpha 90.00
_cell_angle_beta 90.00
_cell_angle_gamma 90.00
_space_group_name_H-M_alt 'P 1'
_space_group_IT_number 1
loop_
_space_group_symop_operation_xyz
'x,y,z'
loop_
_atom_site_label
_atom_site_type_symbol
_atom_site_fract_x
_atom_site_fract_y
_atom_site_fract_z
_atom_site_occupancy
Tm1 Tm 0.500 0.500 0.500 1
O1 O 0.000 0.000 0.000 1
Sm1 Sm 0.000 0.500 0.000 1
Sm2 Sm 0.000 0.000 0.500 1
Sm3 Sm 0.500 0.000 0.000 1
```

## Properties
crystal system = cubic
raw formation energy = -1111 meV per atom
calculated total energy = -5.828 eV per atom
symmetry = Pm-3m, No. 221
volume = 25.28 Å³/atom
N(E_F) = 4.80 states/eV per cell

---

(2)
First-principles (PBE-GGA) data for SmTmO3 after structural relaxation, as listed in Alexandria via LeMat-Bulk.

Geometry as CIF:
```
data_SmTmO3
_cell_length_a 4.079
_cell_length_b 5.829
_cell_length_c 7.022
_cell_angle_alpha 114.52
_cell_angle_beta 90.00
_cell_angle_gamma 90.00
_space_group_name_H-M_alt 'P 1'
_space_group_IT_number 1
loop_
_space_group_symop_operation_xyz
'x,y,z'
loop_
_atom_site_label
_atom_site_type_symbol
_atom_site_fract_x
_atom_site_fract_y
_atom_site_fract_z
_atom_site_occupancy
Sm1 Sm 0.000 0.663 0.326 1
Sm2 Sm 0.000 0.337 0.674 1
Tm1 Tm 0.500 0.119 0.238 1
Tm2 Tm 0.500 0.881 0.762 1
O1 O 0.500 0.268 0.000 1
O2 O 0.000 0.834 0.668 1
O3 O 0.500 0.732 0.000 1
O4 O 0.500 0.500 0.500 1
O5 O 0.000 0.166 0.332 1
O6 O 0.500 0.000 0.500 1
```

## Properties
crystal system = orthorhombic
raw formation energy = -3058 meV per atom
calculated total energy = -7.872 eV per atom
symmetry = Cmmm, No. 65
volume = 15.19 Å³/atom
N(E_F) = 0.00 states/eV per cell

---

(3)
First-principles (PBE-GGA) data for SmTmO after structural relaxation, as listed in Alexandria via LeMat-Bulk.

Geometry as CIF:
```
data_SmTmO
_cell_length_a 3.512
_cell_length_b 3.512
_cell_length_c 5.891
_cell_angle_alpha 90.00
_cell_angle_beta 90.00
_cell_angle_gamma 120.00
_space_group_name_H-M_alt 'P 1'
_space_group_IT_number 1
loop_
_space_group_symop_operation_xyz
'x,y,z'
loop_
_atom_site_label
_atom_site_type_symbol
_atom_site_fract_x
_atom_site_fract_y
_atom_site_fract_z
_atom_site_occupancy
Tm1 Tm 0.333 0.667 0.556 1
O1 O 0.667 0.333 0.358 1
Sm1 Sm 0.000 0.000 0.086 1
```

## Properties
crystal system = trigonal
raw formation energy = -1777 meV per atom
calculated total energy = -6.493 eV per atom
symmetry = P3m1, No. 156
E above lowest polymorph = 76 meV/atom
volume = 20.98 Å³/atom
N(E_F) = 1.91 states/eV per cell

---

(4)
First-principles (PBE-GGA) data for SmTmO3 after structural relaxation, as listed in Alexandria via LeMat-Bulk.

Geometry as CIF:
```
data_SmTmO3
_cell_length_a 3.361
_cell_length_b 6.047
_cell_length_c 13.042
_cell_angle_alpha 90.00
_cell_angle_beta 90.00
_cell_angle_gamma 90.00
_space_group_name_H-M_alt 'P 1'
_space_group_IT_number 1
loop_
_space_group_symop_operation_xyz
'x,y,z'
loop_
_atom_site_label
_atom_site_type_symbol
_atom_site_fract_x
_atom_site_fract_y
_atom_site_fract_z
_atom_site_occupancy
Sm1 Sm 0.750 0.824 0.804 1
Sm2 Sm 0.250 0.176 0.196 1
Sm3 Sm 0.750 0.324 0.696 1
Sm4 Sm 0.250 0.676 0.304 1
Tm1 Tm 0.250 0.262 0.949 1
Tm2 Tm 0.250 0.762 0.551 1
Tm3 Tm 0.750 0.238 0.449 1
Tm4 Tm 0.750 0.738 0.051 1
O1 O 0.250 0.361 0.558 1
O2 O 0.750 0.869 0.215 1
O3 O 0.750 0.472 0.896 1
O4 O 0.750 0.972 0.604 1
O5 O 0.750 0.639 0.442 1
O6 O 0.250 0.028 0.396 1
O7 O 0.250 0.861 0.942 1
O8 O 0.750 0.369 0.285 1
O9 O 0.250 0.631 0.715 1
O10 O 0.250 0.131 0.785 1
O11 O 0.750 0.139 0.058 1
O12 O 0.250 0.528 0.104 1
```

## Properties
crystal system = orthorhombic
raw formation energy = -3458 meV per atom
calculated total energy = -8.271 eV per atom
symmetry = Pnma, No. 62
volume = 13.25 Å³/atom
N(E_F) = 0.00 states/eV per cell

---

(5)
First-principles (PBE-GGA) data for SmTmO after structural relaxation, as listed in Alexandria via LeMat-Bulk.

Geometry as CIF:
```
data_SmTmO
_cell_length_a 5.242
_cell_length_b 7.696
_cell_length_c 6.922
_cell_angle_alpha 90.00
_cell_angle_beta 90.00
_cell_angle_gamma 90.00
_space_group_name_H-M_alt 'P 1'
_space_group_IT_number 1
loop_
_space_group_symop_operation_xyz
'x,y,z'
loop_
_atom_site_label
_atom_site_type_symbol
_atom_site_fract_x
_atom_site_fract_y
_atom_site_fract_z
_atom_site_occupancy
Tm1 Tm 0.502 0.373 0.087 1
Tm2 Tm 0.002 0.373 0.413 1
Tm3 Tm 0.502 0.627 0.587 1
Tm4 Tm 0.002 0.627 0.913 1
O1 O 0.502 0.137 0.920 1
O2 O 0.002 0.137 0.580 1
O3 O 0.002 0.863 0.080 1
O4 O 0.502 0.863 0.420 1
Sm1 Sm 0.502 0.124 0.589 1
Sm2 Sm 0.502 0.876 0.089 1
Sm3 Sm 0.002 0.124 0.911 1
Sm4 Sm 0.002 0.876 0.411 1
```

## Properties
crystal system = orthorhombic
raw formation energy = -1853 meV per atom
calculated total energy = -6.569 eV per atom
symmetry = Pbcm, No. 57
E above lowest polymorph = 0 meV/atom
volume = 23.27 Å³/atom
N(E_F) = 10.29 states/eV per cell

---

(6)
First-principles (PBE-GGA) data for SmTmO3 after structural relaxation, as listed in Alexandria via LeMat-Bulk.

Geometry as CIF:
```
data_SmTmO3
_cell_length_a 5.719
_cell_length_b 5.976
_cell_length_c 8.398
_cell_angle_alpha 90.00
_cell_angle_beta 90.00
_cell_angle_gamma 90.00
_space_group_name_H-M_alt 'P 1'
_space_group_IT_number 1
loop_
_space_group_symop_operation_xyz
'x,y,z'
loop_
_atom_site_label
_atom_site_type_symbol
_atom_site_fract_x
_atom_site_fract_y
_atom_site_fract_z
_atom_site_occupancy
Sm1 Sm 0.980 0.054 0.250 1
Sm2 Sm 0.480 0.446 0.750 1
Sm3 Sm 0.520 0.554 0.250 1
Sm4 Sm 0.020 0.946 0.750 1
Tm1 Tm 0.500 0.000 0.000 1
Tm2 Tm 0.500 0.000 0.500 1
Tm3 Tm 0.000 0.500 0.000 1
Tm4 Tm 0.000 0.500 0.500 1
O1 O 0.639 0.066 0.750 1
O2 O 0.191 0.193 0.574 1
O3 O 0.191 0.193 0.926 1
O4 O 0.691 0.307 0.426 1
O5 O 0.691 0.307 0.074 1
O6 O 0.139 0.434 0.250 1
O7 O 0.861 0.566 0.750 1
O8 O 0.309 0.693 0.926 1
O9 O 0.309 0.693 0.574 1
O10 O 0.809 0.807 0.074 1
O11 O 0.809 0.807 0.426 1
O12 O 0.361 0.934 0.250 1
```

## Properties
crystal system = orthorhombic
raw formation energy = -3508 meV per atom
calculated total energy = -8.321 eV per atom
symmetry = Pnma, No. 62
volume = 14.35 Å³/atom
N(E_F) = 0.00 states/eV per cell

---

Which of these has the lowest raw formation energy? number 6

---

Number 3 is which compound? SmTmO

---

Which value of raw formation energy does entry 3 give? -1777 meV per atom